(1)
# SmAs12Os4

A geometry-optimized SmAs12Os4 structure (PBE-GGA, the Alexandria database).

Values from the calculation:
* ΔE_f: -31 kJ per mole of atoms
* SG: Im-3, No. 204
* volume: 321.0 Å³ per cell
* DOS(E_F): 14.061 states/eV/cell
* crystal system: cubic
* total energy: -0.47979 Ry per atom
* total magnetic moment: 0.0 μB/cell

Lattice parameters (Å, degrees): 7.471 7.471 7.471 109.47 109.47 109.47
Fractional positions:
Sm1 0.000 0.000 0.000
As1 0.149 0.347 0.496
As2 0.149 0.653 0.802
As3 0.198 0.851 0.347
As4 0.347 0.198 0.851
As5 0.347 0.496 0.149
As6 0.496 0.149 0.347
As7 0.504 0.851 0.653
As8 0.653 0.504 0.851
As9 0.653 0.802 0.149
As10 0.802 0.149 0.653
As11 0.851 0.347 0.198
As12 0.851 0.653 0.504
Os1 0.000 0.000 0.500
Os2 0.000 0.500 0.000
Os3 0.500 0.000 0.000
Os4 0.500 0.500 0.500

=====

(2)
# Ca2Ge2I

A geometry-optimized Ca2Ge2I structure (PBE-GGA, the Alexandria database).

Values from the calculation:
* SG: P4/mbm, No. 127
* offset from the most stable computed form: 0.0000 eV/atom
* volume: 298.9 Å³ per cell
* DOS(E_F): 2.155 states/eV/cell
* crystal system: tetragonal
* total energy: -0.26660 Ry per atom
* total magnetic moment: 0.0 μB/cell
* ΔE_f (raw): -3.3 eV/f.u.

Lattice parameters (Å, degrees): 8.378 8.378 4.258 90.00 90.00 90.00
Fractional positions:
Ca1 0.178 0.322 0.000
Ca2 0.322 0.822 0.000
Ca3 0.678 0.178 0.000
Ca4 0.822 0.678 0.000
Ge1 0.100 0.600 0.500
Ge2 0.400 0.100 0.500
Ge3 0.600 0.900 0.500
Ge4 0.900 0.400 0.500
I1 0.000 0.000 0.000
I2 0.500 0.500 0.000

=====

(3)
# ErGe2Pb3O9

A geometry-optimized ErGe2Pb3O9 structure (PBE-GGA, the Alexandria database).

Values from the calculation:
* SG: P-3m1, No. 164
* volume: 199.6 Å³ per cell
* DOS(E_F): 11.260 states/eV/cell
* crystal system: trigonal
* total energy: -0.45841 Ry per atom
* total magnetic moment: 0.0 μB/cell
* ΔE_f (raw): -24.0 eV/f.u.

Lattice parameters (Å, degrees): 5.673 5.673 7.160 90.00 90.00 120.00
Fractional positions:
Er1 0.000 0.000 0.000
Ge1 0.333 0.667 0.674
Ge2 0.667 0.333 0.326
Pb1 0.000 0.000 0.500
Pb2 0.333 0.667 0.214
Pb3 0.667 0.333 0.786
O1 0.000 0.500 0.500
O2 0.173 0.347 0.807
O3 0.173 0.827 0.807
O4 0.347 0.173 0.193
O5 0.500 0.000 0.500
O6 0.500 0.500 0.500
O7 0.653 0.827 0.807
O8 0.827 0.173 0.193
O9 0.827 0.653 0.193

=====

(4)
# V2FeHI

A geometry-optimized V2FeHI structure (PBE-GGA, the Alexandria database).

Values from the calculation:
* SG: P4/mmm, No. 123
* volume: 64.7 Å³ per cell
* DOS(E_F): 5.693 states/eV/cell
* crystal system: tetragonal
* total energy: -0.41470 Ry per atom
* total magnetic moment: 1.1 μB/cell

Lattice parameters (Å, degrees): 3.679 3.679 4.779 90.00 90.00 90.00
Fractional positions:
V1 0.000 0.500 0.000
V2 0.500 0.000 0.000
Fe1 0.000 0.000 0.500
H1 0.500 0.500 0.000
I1 0.500 0.500 0.500